Ba4Ac3LaTe8 | PBE-GGA | relaxed

Unit cell a=9.731 b=9.731 c=9.731 alpha=59.14 beta=59.14 gamma=59.14
Fractional coordinates of all 16 atoms:
Ba: 0.000 0.000 0.000
Ba: 0.000 0.500 0.500
Ba: 0.500 0.000 0.500
Ba: 0.500 0.500 0.000
Ac: 0.000 0.000 0.500
Ac: 0.000 0.500 0.000
Ac: 0.500 0.000 0.000
La: 0.500 0.500 0.500
Te: 0.246 0.246 0.246
Te: 0.249 0.742 0.742
Te: 0.258 0.258 0.751
Te: 0.258 0.751 0.258
Te: 0.742 0.249 0.742
Te: 0.742 0.742 0.249
Te: 0.751 0.258 0.258
Te: 0.754 0.754 0.754

Values from the calculation:
The spin magnetization comes out at 0.0 Bohr magnetons per cell. The space group is No. 166. As for the density of states at the Fermi level: 7.14 states/eV/cell. For the formation energy without anion corrections, the calculation gives -1.64 eV/atom.


Ba3Ac2LaTe6 | PBE-GGA | relaxed

Unit cell a=8.305 b=8.305 c=8.452 alpha=99.44 beta=99.44 gamma=119.94
Fractional coordinates of all 12 atoms:
Ba: 0.000 0.000 0.000
Ba: 0.332 0.668 0.000
Ba: 0.668 0.332 0.000
Ac: 0.166 0.834 0.500
Ac: 0.834 0.166 0.500
La: 0.500 0.500 0.500
Te: 0.094 0.422 0.267
Te: 0.251 0.251 0.735
Te: 0.422 0.094 0.267
Te: 0.578 0.906 0.733
Te: 0.749 0.749 0.265
Te: 0.906 0.578 0.733

Values from the calculation:
The spin magnetization comes out at 0.0 Bohr magnetons per cell. The space group is No. 12. As for the density of states at the Fermi level: 5.76 states/eV/cell. For the formation energy without anion corrections, the calculation gives -1.64 eV/atom.


BaAc3La2Te6 | PBE-GGA | relaxed

Unit cell a=10.537 b=10.537 c=9.490 alpha=102.83 beta=102.83 gamma=25.76
Fractional coordinates of all 12 atoms:
Ba: 0.000 0.000 0.000
Ac: 0.000 0.000 0.500
Ac: 0.336 0.336 0.173
Ac: 0.664 0.664 0.827
La: 0.330 0.330 0.661
La: 0.670 0.670 0.339
Te: 0.167 0.167 0.577
Te: 0.170 0.170 0.090
Te: 0.495 0.495 0.742
Te: 0.505 0.505 0.258
Te: 0.830 0.830 0.910
Te: 0.833 0.833 0.423

Values from the calculation:
The spin magnetization comes out at 0.0 Bohr magnetons per cell. The space group is No. 12. As for the density of states at the Fermi level: 6.23 states/eV/cell. For the formation energy without anion corrections, the calculation gives -1.56 eV/atom.


BaAcLa2Tl4 | PBE-GGA | relaxed

Unit cell a=10.034 b=10.034 c=10.034 alpha=33.61 beta=33.61 gamma=33.61
Fractional coordinates of all 8 atoms:
Ba: 0.000 0.000 0.000
Ac: 0.500 0.500 0.500
La: 0.253 0.253 0.253
La: 0.747 0.747 0.747
Tl: 0.127 0.127 0.127
Tl: 0.378 0.378 0.378
Tl: 0.622 0.622 0.622
Tl: 0.873 0.873 0.873

Values from the calculation:
The spin magnetization comes out at 0.0 Bohr magnetons per cell. The space group is No. 166. As for the density of states at the Fermi level: 9.12 states/eV/cell. The electronic total energy is -3.53 eV/atom.


BaAcLaTl | PBE-GGA | relaxed

Unit cell a=6.053 b=6.053 c=6.053 alpha=60.00 beta=60.00 gamma=60.00
Fractional coordinates of all 4 atoms:
Ba: 0.000 0.000 0.000
Ac: 0.750 0.750 0.750
La: 0.500 0.500 0.500
Tl: 0.250 0.250 0.250

Values from the calculation:
The spin magnetization comes out at 0.0 Bohr magnetons per cell. The space group is No. 216. As for the density of states at the Fermi level: 5.98 states/eV/cell. The electronic total energy is -3.29 eV/atom.


BaAc2LaTl4 | PBE-GGA | relaxed

Unit cell a=10.127 b=10.127 c=10.127 alpha=33.61 beta=33.61 gamma=33.61
Fractional coordinates of all 8 atoms:
Ba: 0.000 0.000 0.000
Ac: 0.252 0.252 0.252
Ac: 0.748 0.748 0.748
La: 0.500 0.500 0.500
Tl: 0.129 0.129 0.129
Tl: 0.381 0.381 0.381
Tl: 0.619 0.619 0.619
Tl: 0.871 0.871 0.871

Values from the calculation:
The spin magnetization comes out at 0.0 Bohr magnetons per cell. The space group is No. 166. As for the density of states at the Fermi level: 7.57 states/eV/cell. The electronic total energy is -3.43 eV/atom.


BaLi17Ac | PBE-GGA | relaxed

Unit cell a=7.793 b=7.793 c=7.793 alpha=83.15 beta=83.15 gamma=83.15
Fractional coordinates of all 19 atoms:
Ba: 0.000 0.000 0.000
Li: 0.146 0.643 0.643
Li: 0.307 0.307 0.783
Li: 0.307 0.783 0.307
Li: 0.358 0.641 0.935
Li: 0.358 0.935 0.641
Li: 0.502 0.991 0.991
Li: 0.550 0.550 0.550
Li: 0.641 0.358 0.935
Li: 0.641 0.935 0.358
Li: 0.643 0.146 0.643
Li: 0.643 0.643 0.146
Li: 0.739 0.739 0.739
Li: 0.783 0.307 0.307
Li: 0.935 0.358 0.641
Li: 0.935 0.641 0.358
Li: 0.991 0.502 0.991
Li: 0.991 0.991 0.502
Ac: 0.300 0.300 0.300

Values from the calculation:
The spin magnetization comes out at 0.8 Bohr magnetons per cell. The space group is No. 160. As for the density of states at the Fermi level: 13.44 states/eV/cell. The electronic total energy is -1.99 eV/atom.


BaLi2Ac | PBE-GGA | relaxed

Unit cell a=4.155 b=4.155 c=8.721 alpha=90.00 beta=90.00 gamma=90.00
Fractional coordinates of all 4 atoms:
Ba: 0.000 0.000 0.000
Li: 0.500 0.500 0.273
Li: 0.500 0.500 0.727
Ac: 0.000 0.000 0.500

Values from the calculation:
The spin magnetization comes out at 0.0 Bohr magnetons per cell. The space group is No. 123. The calculation puts the energy above the most stable polymorph in this dataset at 0.0 meV per atom. As for the density of states at the Fermi level: 6.57 states/eV/cell.


BaLiAc | PBE-GGA | relaxed

Unit cell a=5.362 b=5.362 c=9.433 alpha=90.00 beta=90.00 gamma=90.00
Fractional coordinates of all 6 atoms:
Ba: 0.250 0.250 0.150
Ba: 0.750 0.750 0.850
Li: 0.250 0.250 0.743
Li: 0.750 0.750 0.257
Ac: 0.250 0.750 0.500
Ac: 0.750 0.250 0.500

Values from the calculation:
The spin magnetization comes out at 0.0 Bohr magnetons per cell. The space group is No. 129. The calculation puts the energy above the most stable polymorph in this dataset at 2.7 meV per atom. As for the density of states at the Fermi level: 7.88 states/eV/cell.


Ba2LiAc | PBE-GGA | relaxed

Unit cell a=6.519 b=6.519 c=6.519 alpha=60.00 beta=60.00 gamma=60.00
Fractional coordinates of all 4 atoms:
Ba: 0.250 0.250 0.250
Ba: 0.750 0.750 0.750
Li: 0.000 0.000 0.000
Ac: 0.500 0.500 0.500

Values from the calculation:
The spin magnetization comes out at 0.0 Bohr magnetons per cell. The space group is No. 225. The calculation puts the energy above the most stable polymorph in this dataset at 144.7 meV per atom. As for the density of states at the Fermi level: 7.26 states/eV/cell.


BaLi10Ac | PBE-GGA | relaxed

Unit cell a=4.629 b=6.344 c=10.929 alpha=90.00 beta=90.00 gamma=90.00
Fractional coordinates of all 12 atoms:
Ba: 0.000 0.000 0.000
Li: 0.000 0.000 0.338
Li: 0.000 0.000 0.662
Li: 0.000 0.500 0.172
Li: 0.000 0.500 0.828
Li: 0.500 0.000 0.500
Li: 0.500 0.259 0.262
Li: 0.500 0.259 0.738
Li: 0.500 0.500 0.000
Li: 0.500 0.741 0.262
Li: 0.500 0.741 0.738
Ac: 0.000 0.500 0.500

Values from the calculation:
The spin magnetization comes out at 1.1 Bohr magnetons per cell. The space group is No. 47. As for the density of states at the Fermi level: 9.74 states/eV/cell. The electronic total energy is -2.04 eV/atom.


Ba2LiAc | PBE-GGA | relaxed

Unit cell a=6.674 b=6.674 c=4.357 alpha=90.00 beta=90.00 gamma=90.00
Fractional coordinates of all 4 atoms:
Ba: 0.000 0.500 0.000
Ba: 0.500 0.000 0.000
Li: 0.000 0.000 0.500
Ac: 0.500 0.500 0.500

Values from the calculation:
The spin magnetization comes out at 0.0 Bohr magnetons per cell. The space group is No. 123. The calculation puts the energy above the most stable polymorph in this dataset at 60.4 meV per atom. As for the density of states at the Fermi level: 4.74 states/eV/cell.


Ba2LiAc | PBE-GGA | relaxed

Unit cell a=12.897 b=12.897 c=12.897 alpha=18.68 beta=18.68 gamma=18.68
Fractional coordinates of all 4 atoms:
Ba: 0.000 0.000 0.000
Ba: 0.177 0.177 0.177
Li: 0.589 0.589 0.589
Ac: 0.422 0.422 0.422

Values from the calculation:
The spin magnetization comes out at 0.0 Bohr magnetons per cell. The space group is No. 160. The calculation puts the energy above the most stable polymorph in this dataset at 42.1 meV per atom. As for the density of states at the Fermi level: 4.81 states/eV/cell.


Ba2LiAc | PBE-GGA | relaxed

Unit cell a=4.210 b=4.210 c=10.539 alpha=90.00 beta=90.00 gamma=90.00
Fractional coordinates of all 4 atoms:
Ba: 0.000 0.000 0.216
Ba: 0.000 0.000 0.784
Li: 0.500 0.500 0.000
Ac: 0.500 0.500 0.500

Values from the calculation:
The spin magnetization comes out at 0.0 Bohr magnetons per cell. The space group is No. 123. The calculation puts the energy above the most stable polymorph in this dataset at 0.0 meV per atom. As for the density of states at the Fermi level: 5.87 states/eV/cell.


Ba2LiAc | PBE-GGA | relaxed

Unit cell a=13.996 b=13.996 c=13.996 alpha=16.45 beta=16.45 gamma=16.45
Fractional coordinates of all 4 atoms:
Ba: 0.095 0.095 0.095
Ba: 0.905 0.905 0.905
Li: 0.500 0.500 0.500
Ac: 0.000 0.000 0.000

Values from the calculation:
The spin magnetization comes out at 0.0 Bohr magnetons per cell. The space group is No. 166. The calculation puts the energy above the most stable polymorph in this dataset at 186.6 meV per atom. As for the density of states at the Fermi level: 6.30 states/eV/cell.


BaLiAc | PBE-GGA | relaxed

Unit cell a=6.076 b=6.076 c=3.947 alpha=90.00 beta=90.00 gamma=120.00
Fractional coordinates of all 3 atoms:
Ba: 0.000 0.000 0.000
Li: 0.667 0.333 0.751
Ac: 0.333 0.667 0.413

Values from the calculation:
The spin magnetization comes out at 0.0 Bohr magnetons per cell. The space group is No. 156. The calculation puts the energy above the most stable polymorph in this dataset at 86.5 meV per atom. As for the density of states at the Fermi level: 3.08 states/eV/cell.


BaLi2Ac | PBE-GGA | relaxed

Unit cell a=5.977 b=5.977 c=5.977 alpha=60.00 beta=60.00 gamma=60.00
Fractional coordinates of all 4 atoms:
Ba: 0.000 0.000 0.000
Li: 0.250 0.250 0.250
Li: 0.750 0.750 0.750
Ac: 0.500 0.500 0.500

Values from the calculation:
The spin magnetization comes out at 0.0 Bohr magnetons per cell. The space group is No. 225. The calculation puts the energy above the most stable polymorph in this dataset at 31.0 meV per atom. As for the density of states at the Fermi level: 5.84 states/eV/cell.


BaLiAc4 | PBE-GGA | relaxed

Unit cell a=7.528 b=7.528 c=7.528 alpha=60.00 beta=60.00 gamma=60.00
Fractional coordinates of all 6 atoms:
Ba: 0.000 0.000 0.000
Li: 0.750 0.750 0.750
Ac: 0.376 0.376 0.376
Ac: 0.376 0.376 0.873
Ac: 0.376 0.873 0.376
Ac: 0.873 0.376 0.376

Values from the calculation:
The spin magnetization comes out at 0.0 Bohr magnetons per cell. The space group is No. 216. As for the density of states at the Fermi level: 11.08 states/eV/cell. The electronic total energy is -3.04 eV/atom.


BaLiAc | PBE-GGA | relaxed

Unit cell a=7.872 b=7.872 c=7.872 alpha=149.44 beta=149.44 gamma=43.76
Fractional coordinates of all 3 atoms:
Ba: 0.000 0.000 0.000
Li: 0.655 0.655 0.000
Ac: 0.289 0.289 0.000

Values from the calculation:
The spin magnetization comes out at 0.0 Bohr magnetons per cell. The space group is No. 107. The calculation puts the energy above the most stable polymorph in this dataset at 0.0 meV per atom. As for the density of states at the Fermi level: 5.18 states/eV/cell.


BaLiAcMg | PBE-GGA | relaxed

Unit cell a=5.993 b=5.993 c=5.993 alpha=60.00 beta=60.00 gamma=60.00
Fractional coordinates of all 4 atoms:
Ba: 0.000 0.000 0.000
Li: 0.250 0.250 0.250
Ac: 0.500 0.500 0.500
Mg: 0.750 0.750 0.750

Values from the calculation:
The spin magnetization comes out at 0.0 Bohr magnetons per cell. The space group is No. 216. As for the density of states at the Fermi level: 4.01 states/eV/cell. The electronic total energy is -2.34 eV/atom.


BaNaLiAc | PBE-GGA | relaxed

Unit cell a=6.197 b=6.197 c=6.197 alpha=60.00 beta=60.00 gamma=60.00
Fractional coordinates of all 4 atoms:
Ba: 0.000 0.000 0.000
Na: 0.250 0.250 0.250
Li: 0.750 0.750 0.750
Ac: 0.500 0.500 0.500

Values from the calculation:
The spin magnetization comes out at 0.0 Bohr magnetons per cell. The space group is No. 216. As for the density of states at the Fermi level: 6.19 states/eV/cell. The electronic total energy is -2.14 eV/atom.


Ba4LiAc3O8 | PBE-GGA | relaxed

Unit cell a=7.737 b=7.737 c=7.737 alpha=59.10 beta=59.10 gamma=59.10
Fractional coordinates of all 16 atoms:
Ba: 0.000 0.000 0.000
Ba: 0.000 0.500 0.500
Ba: 0.500 0.000 0.500
Ba: 0.500 0.500 0.000
Li: 0.500 0.500 0.500
Ac: 0.000 0.000 0.500
Ac: 0.000 0.500 0.000
Ac: 0.500 0.000 0.000
O: 0.228 0.746 0.746
O: 0.239 0.239 0.239
O: 0.254 0.254 0.772
O: 0.254 0.772 0.254
O: 0.746 0.228 0.746
O: 0.746 0.746 0.228
O: 0.761 0.761 0.761
O: 0.772 0.254 0.254

Values from the calculation:
The spin magnetization comes out at 0.0 Bohr magnetons per cell. The space group is No. 166. As for the density of states at the Fermi level: 5.87 states/eV/cell. For the formation energy without anion corrections, the calculation gives -2.52 eV/atom.


BaLiAc2O5 | PBE-GGA | relaxed

Unit cell a=7.729 b=7.729 c=7.729 alpha=125.16 beta=125.16 gamma=81.27
Fractional coordinates of all 18 atoms:
Ba: 0.250 0.250 0.000
Ba: 0.750 0.750 0.000
Li: 0.250 0.750 0.500
Li: 0.750 0.250 0.500
Ac: 0.170 0.670 0.839
Ac: 0.330 0.170 0.500
Ac: 0.670 0.830 0.500
Ac: 0.830 0.330 0.161
O: 0.000 0.000 0.000
O: 0.009 0.227 0.500
O: 0.227 0.727 0.218
O: 0.273 0.491 0.500
O: 0.491 0.991 0.218
O: 0.500 0.500 0.000
O: 0.509 0.009 0.782
O: 0.727 0.509 0.500
O: 0.773 0.273 0.782
O: 0.991 0.773 0.500

Values from the calculation:
The spin magnetization comes out at 2.1 Bohr magnetons per cell. The space group is No. 140. As for the density of states at the Fermi level: 14.13 states/eV/cell. For the formation energy without anion corrections, the calculation gives -2.65 eV/atom.


BaLiAcO3 | PBE-GGA | relaxed

Unit cell a=6.149 b=6.149 c=9.807 alpha=90.00 beta=90.00 gamma=144.49
Fractional coordinates of all 12 atoms:
Ba: 0.249 0.751 0.750
Ba: 0.751 0.249 0.250
Li: 0.028 0.972 0.250
Li: 0.972 0.028 0.750
Ac: 0.500 0.500 0.000
Ac: 0.500 0.500 0.500
O: 0.122 0.878 0.089
O: 0.122 0.878 0.411
O: 0.432 0.568 0.250
O: 0.568 0.432 0.750
O: 0.878 0.122 0.589
O: 0.878 0.122 0.911

Values from the calculation:
The spin magnetization comes out at 0.0 Bohr magnetons per cell. The space group is No. 63. As for the density of states at the Fermi level: 0.00 states/eV/cell. For the formation energy without anion corrections, the calculation gives -2.62 eV/atom.